Entry 1:
This record from the Alexandria database describes Na2ZnPb after structural relaxation. The functional is PBE-GGA.

Summary:
DOS at the Fermi energy	2.0	states/eV/cell
formation energy	-0.0069	eV per atom

Geometry as POSCAR:
```
Na2ZnPb
1.0
4.4974 0.0000 0.0000
0.0000 4.4974 0.0000
0.0000 0.0000 5.0050
Na Zn Pb
2 1 1
Direct
0.0000 0.5000 0.0000
0.5000 0.0000 0.0000
0.0000 0.0000 0.5000
0.5000 0.5000 0.5000
```

=====

Entry 2:
This record from the Alexandria database describes NaSr2ScIr after structural relaxation. The functional is PBE-GGA.

Summary:
DOS at the Fermi energy	3.0	states/eV/cell
formation energy	-0.1486	eV per atom

Geometry as POSCAR:
```
NaSr2ScIr
1.0
6.0274 0.0000 0.0000
0.0000 6.0274 0.0000
0.0000 0.0000 5.0267
Na Sr Sc Ir
1 2 1 1
Direct
0.0000 0.0000 0.0000
0.0000 0.5000 0.5000
0.5000 0.0000 0.5000
0.5000 0.5000 0.0000
0.5000 0.5000 0.5000
```

=====

Entry 3:
This record from the Alexandria database describes RbTl2Ag after structural relaxation. The functional is PBE-GGA.

Summary:
DOS at the Fermi energy	5.8	states/eV/cell
formation energy	0.1259	eV per atom

Geometry as POSCAR:
```
RbTl2Ag
1.0
5.7111 0.0000 0.0000
0.0000 5.7111 0.0000
0.0000 0.0000 20.3496
Rb Tl Ag
4 8 4
Direct
0.0000 0.0000 0.0000
0.0000 0.5000 0.2500
0.5000 0.0000 0.7500
0.5000 0.5000 0.5000
0.0864 0.2500 0.6250
0.2500 0.5864 0.8750
0.2500 0.9136 0.3750
0.4136 0.2500 0.1250
0.5864 0.7500 0.1250
0.7500 0.0864 0.3750
0.7500 0.4136 0.8750
0.9136 0.7500 0.6250
0.0000 0.0000 0.5000
0.0000 0.5000 0.7500
0.5000 0.0000 0.2500
0.5000 0.5000 0.0000
```